Computed, not measured: La2SiNi at its PBEsol-relaxed geometry at the meta-GGA SCAN level of DFT.

## Properties
The uncorrected formation energy comes out at -571.4 meV/atom. The symmetry is Amm2, No. 38. The value obtained for the theoretical density is 6.58 Mg/m³. The value obtained for the density of states at the Fermi level is 6.32 states/eV/cell.

Unit cell a=4.140 b=4.466 c=9.954 alpha=90.00 beta=90.00 gamma=90.00
Sites, in units of the cell vectors:
La 0.000 0.000 0.000
La 0.000 0.500 0.500
La 0.500 0.000 0.305
La 0.500 0.500 0.805
Si 0.500 0.000 0.607
Si 0.500 0.500 0.107
Ni 0.000 0.000 0.710
Ni 0.000 0.500 0.210